# 1
MnV6Fe | Alexandria | PBE-GGA | relaxed; energy above the most stable polymorph in this dataset = 0.000 eV/atom; total moment = 0.00 μB/f.u.; energy of formation from the pure elements = -0.159 eV/atom
1.0
3.9472 0.0002 1.1885
-0.3582 3.9308 1.1890
0.1758 0.1921 6.5638
V Mn Fe
6 1 1
Cartesian
1.2218 3.4995 3.0909
2.5431 0.6236 5.8504
3.3744 1.5342 3.0907
2.7782 3.0426 5.0702
0.9867 1.0805 3.8712
0.3904 2.5889 5.8506
1.7945 1.9655 1.1888
0.0000 0.0000 0.0000

# 2
CePmCdRu | Alexandria | PBE-GGA | relaxed; total moment = 0.35 μB/f.u.; energy of formation from the pure elements = -0.147 eV/atom
1.0
-1.0547 3.6364 -3.4792
-3.8674 -0.6654 -3.3228
-4.2806 2.8148 0.4399
Ru Ce Pm Cd
1 1 1 1
Cartesian
0.0000 0.0000 0.0000
-6.9020 4.3394 -4.7716
-2.3007 1.4465 -1.5905
-4.6013 2.8929 -3.1811

# 3
Nd2Tm4Tl3H2 | Alexandria | PBE-GGA | relaxed; total moment = 0.00 μB/f.u.; E_tot = -4.045 eV per atom
1.0
-2.0077 -4.0797 1.4233
2.4293 -2.3637 -3.3485
8.9489 1.4650 8.8479
Nd Tl Tm H
2 3 4 2
Cartesian
3.7955 -3.9092 2.1234
5.5750 -1.0692 4.7993
6.2571 -4.3813 4.2424
0.0000 0.0000 0.0000
3.1135 -0.5971 2.6803
6.6587 -3.5094 7.3080
8.8772 -2.6514 4.9221
0.4934 -2.3270 2.0005
2.7118 -1.4690 -0.3854
7.4009 -1.4194 6.3712
1.9696 -3.5590 0.5515

# 4
NpGaFeTc | Alexandria | PBE-GGA | relaxed; total moment = 1.63 μB/f.u.; energy of formation from the pure elements = -0.031 eV/atom
1.0
4.4730 0.0000 0.0000
2.2365 3.8737 0.0000
2.2365 1.2912 3.6522
Ga Np Fe Tc
1 1 1 1
Cartesian
4.4730 2.5825 1.8261
0.0000 0.0000 0.0000
6.7095 3.8737 2.7391
2.2365 1.2912 0.9130